Entry 1:
Te2MoIBr | Alexandria via LeMat-Bulk | PBE | relaxed; electronic total energy = -3.794 eV per atom; SG = No. 123; uncorrected formation energy = 273 meV/atom
1.0
5.269 0.000 0.000
0.000 5.269 0.000
0.000 0.000 5.551
Te Mo I Br
2 1 1 1
Direct
0.000 0.500 0.000 Te
0.500 0.000 0.000 Te
0.000 0.000 0.000 Mo
0.000 0.000 0.500 I
0.500 0.500 0.500 Br

Entry 2:
TeMoI2Br | Alexandria via LeMat-Bulk | PBE | relaxed; electronic total energy = -3.468 eV per atom; SG = No. 123; uncorrected formation energy = 282 meV/atom
1.0
5.492 0.000 0.000
0.000 5.492 0.000
0.000 0.000 5.259
Te Mo I Br
1 1 2 1
Direct
0.000 0.000 0.000 Te
0.000 0.000 0.500 Mo
0.000 0.500 0.500 I
0.500 0.000 0.500 I
0.500 0.500 0.000 Br